[1]
Density functional theory data (PBE) for Sm2Ga5Cu3 after structural relaxation.

```
10
Lattice="4.277 0.000 0.000 0.000 4.277 0.000 0.000 0.000 10.110" Properties=species:S:1:pos:R:3 pbc="T T T"
Sm 0.000 2.138 2.363
Sm 2.138 0.000 7.747
Ga 0.000 0.000 5.055
Ga 0.000 2.138 6.610
Ga 2.138 0.000 3.500
Ga 2.138 2.138 0.000
Ga 2.138 2.138 5.055
Cu 0.000 0.000 0.000
Cu 0.000 2.138 8.957
Cu 2.138 0.000 1.153
```

formation energy from the elements: -0.40 eV/atom
raw total energy: -40.895 eV/f.u.
excess energy over the best structure of this formula in the dataset: 94 meV/atom
ρ: 7.54 g/cm³
magnetic moment: 0.000 μB per atom

---

[2]
Density functional theory data (PBE) for NdSm3Dy3 after structural relaxation.

```
14
Lattice="4.357 2.515 7.335 -4.357 2.515 7.335 0.000 -5.031 7.335" Properties=species:S:1:pos:R:3 pbc="T T T"
Nd 0.000 0.000 3.368
Nd 0.000 0.000 18.637
Sm -0.674 -2.129 6.292
Sm -1.506 1.648 6.292
Sm -2.181 -0.480 15.713
Sm 2.181 0.480 6.292
Sm 1.506 -1.648 15.713
Sm 0.674 2.129 15.713
Dy -0.973 -1.750 9.712
Dy -2.002 -0.032 12.293
Dy -1.029 1.718 9.712
Dy 1.029 -1.718 12.293
Dy 2.002 0.032 9.712
Dy 0.973 1.750 12.293
```

formation energy from the elements: 0.21 eV/atom
raw total energy: -31.287 eV/f.u.
excess energy over the best structure of this formula in the dataset: 186 meV/atom
ρ: 7.46 g/cm³
magnetic moment: 0.000 μB per atom

---

[3]
Density functional theory data (PBE) for Li2LaCo after structural relaxation.

```
4
Lattice="3.506 -2.002 0.000 3.506 2.002 0.000 -2.336 0.000 5.881" Properties=species:S:1:pos:R:3 pbc="T T T"
Li 0.000 0.000 0.000
Li 4.686 0.000 0.876
La 2.355 0.000 3.513
Co -0.005 0.000 4.993
```

formation energy from the elements: 0.16 eV/atom
raw total energy: -15.226 eV/f.u.
excess energy over the best structure of this formula in the dataset: 28 meV/atom
ρ: 4.26 g/cm³
magnetic moment: 0.000 μB per atom

---

[4]
Density functional theory data (PBE) for CrFe2HW after structural relaxation.

```
5
Lattice="3.664 0.000 0.000 0.000 3.664 0.000 0.000 0.000 3.733" Properties=species:S:1:pos:R:3 pbc="T T T"
Cr 0.000 0.000 0.000
Fe 0.000 1.832 1.866
Fe 1.832 0.000 1.866
H 0.000 0.000 1.866
W 1.832 1.832 0.000
```

raw total energy: -42.501 eV/f.u.
excess energy over the best structure of this formula in the dataset: 0 meV/atom
ρ: 11.55 g/cm³
magnetic moment: 0.132 μB per atom

---

[5]
Density functional theory data (PBE) for Tb5Dy2Sc2 after structural relaxation.

```
9
Lattice="9.128 -1.764 0.000 9.128 1.764 0.000 -4.069 0.000 8.427" Properties=species:S:1:pos:R:3 pbc="T T T"
Tb 0.000 0.000 0.000
Tb 1.999 0.000 2.806
Tb 6.093 0.000 0.039
Tb 8.094 0.000 8.387
Tb 12.188 0.000 5.620
Dy -0.081 0.000 5.542
Dy 14.268 0.000 2.884
Sc 6.097 0.000 5.601
Sc 8.090 0.000 2.826
```

formation energy from the elements: 0.02 eV/atom
raw total energy: -44.868 eV/f.u.
excess energy over the best structure of this formula in the dataset: 0 meV/atom
ρ: 7.40 g/cm³
magnetic moment: 0.000 μB per atom

---

[6]
Density functional theory data (PBE) for TlCd3 after structural relaxation.

```
4
Lattice="3.279 -4.543 0.000 3.279 4.543 0.000 0.000 0.000 3.366" Properties=species:S:1:pos:R:3 pbc="T T T"
Tl 0.000 0.000 0.000
Cd 1.640 2.272 1.683
Cd 1.640 -2.272 1.683
Cd 3.279 0.000 0.000
```

formation energy from the elements: 0.06 eV/atom
raw total energy: -4.876 eV/f.u.
ρ: 8.97 g/cm³
magnetic moment: 0.000 μB per atom

---

[7]
Density functional theory data (PBE) for CsFe3B after structural relaxation.

```
5
Lattice="4.192 0.000 0.000 0.000 4.192 0.000 0.000 0.000 4.192" Properties=species:S:1:pos:R:3 pbc="T T T"
Cs 0.000 0.000 0.000
Fe 0.000 2.096 2.096
Fe 2.096 0.000 2.096
Fe 2.096 2.096 0.000
B 2.096 2.096 2.096
```

formation energy from the elements: 1.09 eV/atom
raw total energy: -27.460 eV/f.u.
excess energy over the best structure of this formula in the dataset: 0 meV/atom
ρ: 7.01 g/cm³
magnetic moment: 1.155 μB per atom

---

[8]
Density functional theory data (PBE) for CsLiTbSe3 after structural relaxation.

```
12
Lattice="2.231 -8.497 0.000 2.231 8.497 0.000 0.000 0.000 9.986" Properties=species:S:1:pos:R:3 pbc="T T T"
Cs 2.231 4.281 7.489
Cs 2.231 -4.281 2.496
Li 2.231 0.293 7.489
Li 2.231 -0.293 2.496
Tb 0.000 0.000 0.000
Tb 0.000 0.000 4.993
Se 2.231 7.077 2.496
Se 2.231 1.695 0.901
Se 2.231 1.695 4.092
Se 2.231 -1.695 5.894
Se 2.231 -1.695 9.084
Se 2.231 -7.077 7.489
```

raw total energy: -26.002 eV/f.u.
ρ: 4.70 g/cm³
magnetic moment: 0.128 μB per atom

---

[9]
Density functional theory data (PBE) for Ti2AlH after structural relaxation.

```
8
Lattice="-2.566 2.566 4.594 2.566 -2.566 4.594 2.566 2.566 -4.594" Properties=species:S:1:pos:R:3 pbc="T T T"
Ti 0.000 0.000 0.000
Ti 1.283 1.283 -2.297
Ti 1.283 -1.283 2.297
Ti 0.000 2.566 0.000
Al 2.566 1.283 1.149
Al 0.000 1.283 3.446
H 2.566 -1.283 3.446
H 0.000 3.849 1.149
```

raw total energy: -22.541 eV/f.u.
excess energy over the best structure of this formula in the dataset: 354 meV/atom
ρ: 3.40 g/cm³
magnetic moment: 0.000 μB per atom

---

[10]
Density functional theory data (PBE) for Cr2OsRu after structural relaxation.

```
4
Lattice="0.000 2.989 2.989 2.989 0.000 2.989 2.989 2.989 0.000" Properties=species:S:1:pos:R:3 pbc="T T T"
Cr 0.000 0.000 0.000
Cr 1.495 1.495 1.495
Os 2.989 2.989 2.989
Ru 4.484 4.484 4.484
```

formation energy from the elements: 0.34 eV/atom
raw total energy: -38.387 eV/f.u.
excess energy over the best structure of this formula in the dataset: 247 meV/atom
ρ: 12.29 g/cm³
magnetic moment: 0.501 μB per atom

---

[11]
Density functional theory data (PBE) for BaTiBi3 after structural relaxation.

```
20
Lattice="15.219 0.000 0.000 0.000 6.632 0.000 0.000 0.000 6.548" Properties=species:S:1:pos:R:3 pbc="T T T"
Ba 2.950 0.086 1.637
Ba 2.950 3.230 4.911
Ba 12.268 3.401 1.637
Ba 12.268 6.546 4.911
Ti 6.359 4.974 0.000
Ti 6.359 4.974 3.274
Ti 8.859 1.658 0.000
Ti 8.859 1.658 3.274
Bi 0.066 4.974 0.000
Bi 0.066 4.974 3.274
Bi 4.597 3.407 1.637
Bi 4.597 6.540 4.911
Bi 6.636 0.718 1.637
Bi 6.636 2.598 4.911
Bi 8.583 4.034 1.637
Bi 8.583 5.914 4.911
Bi 10.621 0.091 1.637
Bi 10.621 3.225 4.911
Bi 15.152 1.658 0.000
Bi 15.152 1.658 3.274
```

formation energy from the elements: -0.43 eV/atom
raw total energy: -23.631 eV/f.u.
excess energy over the best structure of this formula in the dataset: 0 meV/atom
ρ: 8.16 g/cm³
magnetic moment: 0.000 μB per atom

---

[12]
Density functional theory data (PBE) for Mn4VTc after structural relaxation.

```
6
Lattice="0.000 3.293 3.293 3.293 0.000 3.293 3.293 3.293 0.000" Properties=species:S:1:pos:R:3 pbc="T T T"
Mn 2.482 2.482 2.482
Mn 4.105 4.105 2.482
Mn 4.105 2.482 4.105
Mn 2.482 4.105 4.105
V 4.940 4.940 4.940
Tc 0.000 0.000 0.000
```

formation energy from the elements: -0.07 eV/atom
raw total energy: -56.578 eV/f.u.
ρ: 8.57 g/cm³
magnetic moment: 0.000 μB per atom

---

> Look up the raw total energy of the fifth one.

-44.868 eV/f.u.